w | Entry from the Alexandria database: a relaxed InRe2Cl crystal (PBE).

Summary:
Its total magnetization is 0.00 μB/f.u.

Cell and atoms, written as CIF:
```
data_InRe2Cl
_chemical_formula_sum 'In2 Re4 Cl2'
_space_group_name_H-M_alt 'P 1'
_space_group_IT_number 1
_space_group_name_Hall 'P 1'
_cell_length_a 11.1908
_cell_length_b 2.8854
_cell_length_c 4.5199
_cell_angle_alpha 90.00
_cell_angle_beta 95.47
_cell_angle_gamma 90.00
loop_
_atom_site_label
_atom_site_fract_x
_atom_site_fract_y
_atom_site_fract_z
In1 0.0000 0.0000 0.0000
In2 0.5000 0.5000 0.0000
Re1 0.2107 0.5000 0.2202
Re2 0.2893 0.0000 0.7798
Re3 0.7107 0.0000 0.2202
Re4 0.7893 0.5000 0.7798
Cl1 0.0000 0.5000 0.5000
Cl2 0.5000 0.0000 0.5000
```



x | Entry from the Alexandria database: a relaxed InRe2Cl crystal (PBE).

Summary:
Its total magnetization is 0.72 μB/f.u.

Cell and atoms, written as CIF:
```
data_InRe2Cl
_chemical_formula_sum 'In2 Re4 Cl2'
_space_group_name_H-M_alt 'P 1'
_space_group_IT_number 1
_space_group_name_Hall 'P 1'
_cell_length_a 5.1780
_cell_length_b 10.1627
_cell_length_c 2.7757
_cell_angle_alpha 90.00
_cell_angle_beta 90.00
_cell_angle_gamma 90.00
loop_
_atom_site_label
_atom_site_fract_x
_atom_site_fract_y
_atom_site_fract_z
In1 0.0000 0.0000 0.0000
In2 0.5000 0.5000 0.0000
Re1 0.2500 0.2500 0.5000
Re2 0.2500 0.7500 0.5000
Re3 0.7500 0.2500 0.5000
Re4 0.7500 0.7500 0.5000
Cl1 0.0000 0.5000 0.0000
Cl2 0.5000 0.0000 0.0000
```



y | Entry from the Alexandria database: a relaxed InRe2Cl crystal (PBE).

Summary:
Its total magnetization is 0.00 μB/f.u.

Cell and atoms, written as CIF:
```
data_InRe2Cl
_chemical_formula_sum 'In1 Re2 Cl1'
_space_group_name_H-M_alt 'P 1'
_space_group_IT_number 1
_space_group_name_Hall 'P 1'
_cell_length_a 3.0041
_cell_length_b 3.0041
_cell_length_c 8.1239
_cell_angle_alpha 90.00
_cell_angle_beta 90.00
_cell_angle_gamma 90.00
loop_
_atom_site_label
_atom_site_fract_x
_atom_site_fract_y
_atom_site_fract_z
In1 0.0000 0.0000 0.0000
Re1 0.0000 0.0000 0.4368
Re2 0.5000 0.5000 0.2515
Cl1 0.5000 0.5000 0.6696
```



z | Entry from the Alexandria database: a relaxed InRe2Cl crystal (PBE).

Summary:
Its total magnetization is 0.00 μB/f.u.

Cell and atoms, written as CIF:
```
data_InRe2Cl
_chemical_formula_sum 'In4 Re8 Cl4'
_space_group_name_H-M_alt 'P 1'
_space_group_IT_number 1
_space_group_name_Hall 'P 1'
_cell_length_a 7.1143
_cell_length_b 7.1143
_cell_length_c 5.5309
_cell_angle_alpha 90.00
_cell_angle_beta 90.00
_cell_angle_gamma 90.00
loop_
_atom_site_label
_atom_site_fract_x
_atom_site_fract_y
_atom_site_fract_z
In1 0.0000 0.0000 0.0000
In2 0.0000 0.5000 0.2500
In3 0.5000 0.0000 0.7500
In4 0.5000 0.5000 0.5000
Re1 0.1713 0.2500 0.6250
Re2 0.2500 0.6713 0.8750
Re3 0.2500 0.8287 0.3750
Re4 0.3287 0.2500 0.1250
Re5 0.6713 0.7500 0.1250
Re6 0.7500 0.1713 0.3750
Re7 0.7500 0.3287 0.8750
Re8 0.8287 0.7500 0.6250
Cl1 0.0000 0.0000 0.5000
Cl2 0.0000 0.5000 0.7500
Cl3 0.5000 0.0000 0.2500
Cl4 0.5000 0.5000 0.0000
```



Which structure loses on stability? z does.



w | Entry from the Alexandria database: a relaxed InRe2Cl crystal (PBE).

Summary:
Its total magnetization is 0.00 μB/f.u.

Cell and atoms, written as CIF:
```
data_InRe2Cl
_chemical_formula_sum 'In2 Re4 Cl2'
_space_group_name_H-M_alt 'P 1'
_space_group_IT_number 1
_space_group_name_Hall 'P 1'
_cell_length_a 2.9290
_cell_length_b 5.0608
_cell_length_c 10.1902
_cell_angle_alpha 90.00
_cell_angle_beta 90.00
_cell_angle_gamma 90.00
loop_
_atom_site_label
_atom_site_fract_x
_atom_site_fract_y
_atom_site_fract_z
In1 0.0000 0.0000 0.0000
In2 0.5000 0.5000 0.0000
Re1 0.0000 0.0000 0.5328
Re2 0.0000 0.5000 0.7398
Re3 0.5000 0.0000 0.7398
Re4 0.5000 0.5000 0.5328
Cl1 0.0000 0.5000 0.3316
Cl2 0.5000 0.0000 0.3316
```



x | Entry from the Alexandria database: a relaxed InRe2Cl crystal (PBE).

Summary:
Its total magnetization is 0.00 μB/f.u.

Cell and atoms, written as CIF:
```
data_InRe2Cl
_chemical_formula_sum 'In1 Re2 Cl1'
_space_group_name_H-M_alt 'P 1'
_space_group_IT_number 1
_space_group_name_Hall 'P 1'
_cell_length_a 2.8150
_cell_length_b 4.9310
_cell_length_c 4.9837
_cell_angle_alpha 90.00
_cell_angle_beta 90.00
_cell_angle_gamma 90.00
loop_
_atom_site_label
_atom_site_fract_x
_atom_site_fract_y
_atom_site_fract_z
In1 0.0000 0.0000 0.0000
Re1 0.0000 0.5000 0.5000
Re2 0.5000 0.0000 0.5000
Cl1 0.5000 0.5000 0.0000
```



y | Entry from the Alexandria database: a relaxed InRe2Cl crystal (PBE).

Summary:
Its total magnetization is 0.00 μB/f.u.

Cell and atoms, written as CIF:
```
data_InRe2Cl
_chemical_formula_sum 'In2 Re4 Cl2'
_space_group_name_H-M_alt 'P 1'
_space_group_IT_number 1
_space_group_name_Hall 'P 1'
_cell_length_a 3.0161
_cell_length_b 3.0614
_cell_length_c 16.3332
_cell_angle_alpha 90.00
_cell_angle_beta 90.00
_cell_angle_gamma 90.00
loop_
_atom_site_label
_atom_site_fract_x
_atom_site_fract_y
_atom_site_fract_z
In1 0.0000 0.0000 0.0000
In2 0.0000 0.5000 0.5000
Re1 0.0000 0.0000 0.7866
Re2 0.0000 0.5000 0.2866
Re3 0.5000 0.0000 0.3760
Re4 0.5000 0.5000 0.8760
Cl1 0.5000 0.0000 0.6645
Cl2 0.5000 0.5000 0.1645
```



z | Entry from the Alexandria database: a relaxed InRe2Cl crystal (PBE).

Summary:
Its total magnetization is 0.00 μB/f.u.

Cell and atoms, written as CIF:
```
data_InRe2Cl
_chemical_formula_sum 'In4 Re8 Cl4'
_space_group_name_H-M_alt 'P 1'
_space_group_IT_number 1
_space_group_name_Hall 'P 1'
_cell_length_a 6.4312
_cell_length_b 6.4312
_cell_length_c 6.4312
_cell_angle_alpha 90.00
_cell_angle_beta 90.00
_cell_angle_gamma 90.00
loop_
_atom_site_label
_atom_site_fract_x
_atom_site_fract_y
_atom_site_fract_z
In1 0.0000 0.0000 0.0000
In2 0.0000 0.5000 0.5000
In3 0.5000 0.0000 0.5000
In4 0.5000 0.5000 0.0000
Re1 0.2500 0.2500 0.2500
Re2 0.2500 0.2500 0.7500
Re3 0.2500 0.7500 0.2500
Re4 0.2500 0.7500 0.7500
Re5 0.7500 0.2500 0.2500
Re6 0.7500 0.2500 0.7500
Re7 0.7500 0.7500 0.2500
Re8 0.7500 0.7500 0.7500
Cl1 0.0000 0.0000 0.5000
Cl2 0.0000 0.5000 0.0000
Cl3 0.5000 0.0000 0.0000
Cl4 0.5000 0.5000 0.5000
```



Which structure loses on stability? z does.



w | Entry from the Alexandria database: a relaxed InRhCl crystal (PBE).

Summary:
Its total magnetization is 0.00 μB/f.u.

Cell and atoms, written as CIF:
```
data_InRhCl
_chemical_formula_sum 'In1 Rh1 Cl1'
_space_group_name_H-M_alt 'P 1'
_space_group_IT_number 1
_space_group_name_Hall 'P 1'
_cell_length_a 3.2354
_cell_length_b 3.3812
_cell_length_c 6.1515
_cell_angle_alpha 105.86
_cell_angle_beta 90.51
_cell_angle_gamma 90.00
loop_
_atom_site_label
_atom_site_fract_x
_atom_site_fract_y
_atom_site_fract_z
In1 0.0000 0.0000 0.0000
Rh1 0.4957 0.3861 0.7700
Cl1 0.9913 0.2444 0.4359
```



x | Entry from the Alexandria database: a relaxed InRhCl crystal (PBE).

Summary:
Its total magnetization is 0.00 μB/f.u.

Cell and atoms, written as CIF:
```
data_InRhCl
_chemical_formula_sum 'In1 Rh1 Cl1'
_space_group_name_H-M_alt 'P 1'
_space_group_IT_number 1
_space_group_name_Hall 'P 1'
_cell_length_a 3.7710
_cell_length_b 4.7570
_cell_length_c 3.8086
_cell_angle_alpha 90.00
_cell_angle_beta 90.00
_cell_angle_gamma 90.00
loop_
_atom_site_label
_atom_site_fract_x
_atom_site_fract_y
_atom_site_fract_z
In1 0.0000 0.0000 0.0000
Rh1 0.5000 0.0000 0.5047
Cl1 0.5000 0.5000 0.3954
```



Which structure loses on stability? w does.



w | Entry from the Alexandria database: a relaxed InRhCl crystal (PBE).

Summary:
Its total magnetization is 0.00 μB/f.u.

Cell and atoms, written as CIF:
```
data_InRhCl
_chemical_formula_sum 'In2 Rh2 Cl2'
_space_group_name_H-M_alt 'P 1'
_space_group_IT_number 1
_space_group_name_Hall 'P 1'
_cell_length_a 11.8835
_cell_length_b 3.3891
_cell_length_c 3.1934
_cell_angle_alpha 90.00
_cell_angle_beta 105.57
_cell_angle_gamma 90.00
loop_
_atom_site_label
_atom_site_fract_x
_atom_site_fract_y
_atom_site_fract_z
In1 0.0000 0.0000 0.0000
In2 0.5000 0.5000 0.0000
Rh1 0.3783 0.0000 0.3784
Rh2 0.8783 0.5000 0.3784
Cl1 0.2014 0.0000 0.7028
Cl2 0.7014 0.5000 0.7028
```



x | Entry from the Alexandria database: a relaxed InRhCl crystal (PBE).

Summary:
Its total magnetization is 0.00 μB/f.u.

Cell and atoms, written as CIF:
```
data_InRhCl
_chemical_formula_sum 'In4 Rh4 Cl4'
_space_group_name_H-M_alt 'P 1'
_space_group_IT_number 1
_space_group_name_Hall 'P 1'
_cell_length_a 6.3401
_cell_length_b 6.3401
_cell_length_c 6.3401
_cell_angle_alpha 90.00
_cell_angle_beta 90.00
_cell_angle_gamma 90.00
loop_
_atom_site_label
_atom_site_fract_x
_atom_site_fract_y
_atom_site_fract_z
In1 0.0000 0.0000 0.0000
In2 0.0000 0.5000 0.5000
In3 0.5000 0.0000 0.5000
In4 0.5000 0.5000 0.0000
Rh1 0.2500 0.2500 0.2500
Rh2 0.2500 0.7500 0.7500
Rh3 0.7500 0.2500 0.7500
Rh4 0.7500 0.7500 0.2500
Cl1 0.0000 0.0000 0.5000
Cl2 0.0000 0.5000 0.0000
Cl3 0.5000 0.0000 0.0000
Cl4 0.5000 0.5000 0.5000
```



Which structure loses on stability? x does.



w | Entry from the Alexandria database: a relaxed InRhCl crystal (PBE).

Summary:
Its total magnetization is 0.00 μB/f.u.

Cell and atoms, written as CIF:
```
data_InRhCl
_chemical_formula_sum 'In1 Rh1 Cl1'
_space_group_name_H-M_alt 'P 1'
_space_group_IT_number 1
_space_group_name_Hall 'P 1'
_cell_length_a 3.4091
_cell_length_b 3.4091
_cell_length_c 5.8640
_cell_angle_alpha 90.00
_cell_angle_beta 90.00
_cell_angle_gamma 120.00
loop_
_atom_site_label
_atom_site_fract_x
_atom_site_fract_y
_atom_site_fract_z
In1 0.0000 0.0000 0.0000
Rh1 0.6667 0.3333 0.2989
Cl1 0.3333 0.6667 0.6383
```



x | Entry from the Alexandria database: a relaxed InRhCl crystal (PBE).

Summary:
Its total magnetization is 0.00 μB/f.u.

Cell and atoms, written as CIF:
```
data_InRhCl
_chemical_formula_sum 'In1 Rh1 Cl1'
_space_group_name_H-M_alt 'P 1'
_space_group_IT_number 1
_space_group_name_Hall 'P 1'
_cell_length_a 4.4435
_cell_length_b 4.4435
_cell_length_c 3.2439
_cell_angle_alpha 90.00
_cell_angle_beta 90.00
_cell_angle_gamma 120.00
loop_
_atom_site_label
_atom_site_fract_x
_atom_site_fract_y
_atom_site_fract_z
In1 0.0000 0.0000 0.0000
Rh1 0.6667 0.3333 0.5000
Cl1 0.3333 0.6667 0.5000
```



Which structure loses on stability? x does.



w | Entry from the Alexandria database: a relaxed InRhCl crystal (PBE).

Summary:
Its total magnetization is 0.00 μB/f.u.

Cell and atoms, written as CIF:
```
data_InRhCl
_chemical_formula_sum 'In2 Rh2 Cl2'
_space_group_name_H-M_alt 'P 1'
_space_group_IT_number 1
_space_group_name_Hall 'P 1'
_cell_length_a 5.8119
_cell_length_b 3.3519
_cell_length_c 6.5678
_cell_angle_alpha 90.00
_cell_angle_beta 107.05
_cell_angle_gamma 90.00
loop_
_atom_site_label
_atom_site_fract_x
_atom_site_fract_y
_atom_site_fract_z
In1 0.0000 0.0000 0.0000
In2 0.5000 0.5000 0.0000
Rh1 0.4290 0.0000 0.2893
Rh2 0.9290 0.5000 0.2893
Cl1 0.0594 0.5000 0.6782
Cl2 0.5594 0.0000 0.6782
```



x | Entry from the Alexandria database: a relaxed InRhCl crystal (PBE).

Summary:
Its total magnetization is 0.00 μB/f.u.

Cell and atoms, written as CIF:
```
data_InRhCl
_chemical_formula_sum 'In2 Rh2 Cl2'
_space_group_name_H-M_alt 'P 1'
_space_group_IT_number 1
_space_group_name_Hall 'P 1'
_cell_length_a 3.2748
_cell_length_b 3.2748
_cell_length_c 11.0950
_cell_angle_alpha 90.00
_cell_angle_beta 90.00
_cell_angle_gamma 90.00
loop_
_atom_site_label
_atom_site_fract_x
_atom_site_fract_y
_atom_site_fract_z
In1 0.0000 0.0000 0.0000
In2 0.5000 0.5000 0.5000
Rh1 0.0000 0.0000 0.6238
Rh2 0.5000 0.5000 0.1238
Cl1 0.0000 0.0000 0.2887
Cl2 0.5000 0.5000 0.7887
```



Which structure loses on stability? x does.